(1)
# PBE-GGA BaTmIn, optimized geometry
# total magnetic moment	0.0	μB/f.u.
# energy above the most stable polymorph in this dataset	0.0	meV per atom
# SG	P4/nmm (129)
# density	6.2	g cm⁻³
data_BaTmIn
_chemical_formula_sum 'Ba2 Tm2 In2'
_cell_length_a 5.210
_cell_length_b 5.210
_cell_length_c 8.338
_cell_angle_alpha 90.00
_cell_angle_beta 90.00
_cell_angle_gamma 90.00
_space_group_name_H-M_alt 'P 1'
_space_group_IT_number 1
loop_
_space_group_symop_operation_xyz
'x,y,z'
loop_
_atom_site_label
_atom_site_type_symbol
_atom_site_fract_x
_atom_site_fract_y
_atom_site_fract_z
Ba1 Ba 0.000 0.500 0.856
Ba2 Ba 0.500 0.000 0.144
Tm1 Tm 0.500 0.500 0.500
Tm2 Tm 0.000 0.000 0.500
In1 In 0.000 0.500 0.288
In2 In 0.500 0.000 0.712

(2)
# PBE-GGA Li3CdHg, optimized geometry
# total magnetic moment	0.0	μB/f.u.
# energy above the most stable polymorph in this dataset	54.2	meV per atom
# SG	Pmmn (59)
# density	5.8	g cm⁻³
data_Li3CdHg
_chemical_formula_sum 'Li6 Cd2 Hg2'
_cell_length_a 4.139
_cell_length_b 6.676
_cell_length_c 6.955
_cell_angle_alpha 90.00
_cell_angle_beta 90.00
_cell_angle_gamma 90.00
_space_group_name_H-M_alt 'P 1'
_space_group_IT_number 1
loop_
_space_group_symop_operation_xyz
'x,y,z'
loop_
_atom_site_label
_atom_site_type_symbol
_atom_site_fract_x
_atom_site_fract_y
_atom_site_fract_z
Li1 Li 0.750 0.958 0.764
Li2 Li 0.750 0.542 0.764
Li3 Li 0.250 0.042 0.236
Li4 Li 0.250 0.458 0.236
Li5 Li 0.250 0.250 0.762
Li6 Li 0.750 0.750 0.238
Cd1 Cd 0.250 0.750 0.533
Cd2 Cd 0.750 0.250 0.467
Hg1 Hg 0.250 0.750 0.961
Hg2 Hg 0.750 0.250 0.039

(3)
# PBE-GGA LaPmHo4, optimized geometry
# total magnetic moment	2.9	μB/f.u.
# energy above the most stable polymorph in this dataset	254.8	meV per atom
# SG	F-43m (216)
# density	7.5	g cm⁻³
data_LaPmHo4
_chemical_formula_sum 'La1 Pm1 Ho4'
_cell_length_a 6.651
_cell_length_b 6.651
_cell_length_c 6.651
_cell_angle_alpha 60.00
_cell_angle_beta 60.00
_cell_angle_gamma 60.00
_space_group_name_H-M_alt 'P 1'
_space_group_IT_number 1
loop_
_space_group_symop_operation_xyz
'x,y,z'
loop_
_atom_site_label
_atom_site_type_symbol
_atom_site_fract_x
_atom_site_fract_y
_atom_site_fract_z
Ho1 Ho 0.624 0.624 0.127
Ho2 Ho 0.127 0.624 0.624
Ho3 Ho 0.624 0.624 0.624
Ho4 Ho 0.624 0.127 0.624
La1 La 0.000 0.000 0.000
Pm1 Pm 0.250 0.250 0.250

(4)
# PBE-GGA HfScAu3, optimized geometry
# total magnetic moment	0.5	μB/f.u.
# energy above the most stable polymorph in this dataset	0.0	meV per atom
# SG	Pm-3m (221)
# density	10.1	g cm⁻³
data_HfScAu3
_chemical_formula_sum 'Hf1 Sc1 Au3'
_cell_length_a 5.115
_cell_length_b 5.115
_cell_length_c 5.115
_cell_angle_alpha 90.00
_cell_angle_beta 90.00
_cell_angle_gamma 90.00
_space_group_name_H-M_alt 'P 1'
_space_group_IT_number 1
loop_
_space_group_symop_operation_xyz
'x,y,z'
loop_
_atom_site_label
_atom_site_type_symbol
_atom_site_fract_x
_atom_site_fract_y
_atom_site_fract_z
Au1 Au 0.000 0.000 0.500
Au2 Au 0.000 0.500 0.000
Au3 Au 0.500 0.000 0.000
Sc1 Sc 0.500 0.500 0.500
Hf1 Hf 0.000 0.000 0.000

(5)
# PBE-GGA CaNi2Br, optimized geometry
# energy relative to the elements, uncorrected	0.333	eV per atom
# total magnetic moment	0.0	μB/f.u.
# energy above the most stable polymorph in this dataset	595.4	meV per atom
# SG	Fm-3m (225)
# density	5.7	g cm⁻³
data_CaNi2Br
_chemical_formula_sum 'Ca1 Ni2 Br1'
_cell_length_a 4.617
_cell_length_b 4.617
_cell_length_c 4.617
_cell_angle_alpha 60.00
_cell_angle_beta 60.00
_cell_angle_gamma 60.00
_space_group_name_H-M_alt 'P 1'
_space_group_IT_number 1
loop_
_space_group_symop_operation_xyz
'x,y,z'
loop_
_atom_site_label
_atom_site_type_symbol
_atom_site_fract_x
_atom_site_fract_y
_atom_site_fract_z
Ni1 Ni 0.750 0.750 0.750
Ni2 Ni 0.250 0.250 0.250
Br1 Br 0.500 0.500 0.500
Ca1 Ca 0.000 0.000 0.000

(6)
# PBE-GGA SrNdMg4, optimized geometry
# total magnetic moment	0.0	μB/f.u.
# SG	F-43m (216)
# density	3.1	g cm⁻³
# electronic total energy	-2.221	eV per atom
data_SrNdMg4
_chemical_formula_sum 'Sr1 Nd1 Mg4'
_cell_length_a 6.271
_cell_length_b 6.271
_cell_length_c 6.271
_cell_angle_alpha 60.00
_cell_angle_beta 60.00
_cell_angle_gamma 60.00
_space_group_name_H-M_alt 'P 1'
_space_group_IT_number 1
loop_
_space_group_symop_operation_xyz
'x,y,z'
loop_
_atom_site_label
_atom_site_type_symbol
_atom_site_fract_x
_atom_site_fract_y
_atom_site_fract_z
Mg1 Mg 0.626 0.121 0.626
Mg2 Mg 0.626 0.626 0.626
Mg3 Mg 0.121 0.626 0.626
Mg4 Mg 0.626 0.626 0.121
Nd1 Nd 0.000 0.000 0.000
Sr1 Sr 0.250 0.250 0.250

(7)
# PBE-GGA TbMgGe, optimized geometry
# total magnetic moment	0.0	μB/f.u.
# SG	P2_1/m (11)
# density	5.9	g cm⁻³
# electronic total energy	-4.086	eV per atom
data_TbMgGe
_chemical_formula_sum 'Tb2 Mg2 Ge2'
_cell_length_a 3.902
_cell_length_b 4.211
_cell_length_c 9.056
_cell_angle_alpha 103.62
_cell_angle_beta 90.02
_cell_angle_gamma 90.00
_space_group_name_H-M_alt 'P 1'
_space_group_IT_number 1
loop_
_space_group_symop_operation_xyz
'x,y,z'
loop_
_atom_site_label
_atom_site_type_symbol
_atom_site_fract_x
_atom_site_fract_y
_atom_site_fract_z
Mg1 Mg 0.346 0.206 0.835
Mg2 Mg 0.846 0.782 0.989
Ge1 Ge 0.847 0.944 0.310
Ge2 Ge 0.347 0.047 0.513
Tb1 Tb 0.847 0.583 0.586
Tb2 Tb 0.347 0.407 0.237

(8)
# PBE-GGA K2TiTl, optimized geometry
# total magnetic moment	2.6	μB/f.u.
# energy above the most stable polymorph in this dataset	0.0	meV per atom
# SG	I-42d (122)
# density	2.7	g cm⁻³
data_K2TiTl
_chemical_formula_sum 'K4 Ti2 Tl2'
_cell_length_a 12.237
_cell_length_b 12.237
_cell_length_c 9.079
_cell_angle_alpha 47.63
_cell_angle_beta 47.63
_cell_angle_gamma 90.00
_space_group_name_H-M_alt 'P 1'
_space_group_IT_number 1
loop_
_space_group_symop_operation_xyz
'x,y,z'
loop_
_atom_site_label
_atom_site_type_symbol
_atom_site_fract_x
_atom_site_fract_y
_atom_site_fract_z
K1 K 0.875 0.006 0.750
K2 K 0.756 0.125 0.250
K3 K 0.994 0.625 0.250
K4 K 0.375 0.244 0.750
Ti1 Ti 0.250 0.750 0.500
Ti2 Ti 0.500 0.500 0.000
Tl1 Tl 0.750 0.250 0.500
Tl2 Tl 0.000 0.000 0.000